Here is crystalline NiRu3N at its relaxed geometry from Alexandria via LeMat-Bulk. Energies are from GGA-PBE.

Geometry as extended XYZ:
```
5
Lattice="4.446 0.000 0.000 0.000 4.446 0.000 0.000 0.000 4.446" Properties=species:S:1:pos:R:3 pbc="T T T"
Ni 0.000 0.000 0.000
Ru 0.000 0.000 2.223
Ru 0.000 2.223 0.000
Ru 2.223 0.000 0.000
N 2.223 2.223 2.223
```

Output
**Offset from the most stable computed form**: 2.2988 eV/atom
**Space-group type**: Pm-3m (221)
**M_tot**: 6.30 Bohr magnetons per cell
**Raw formation energy**: 2.64 eV/atom

Here is crystalline Tb12PmSc7 at its relaxed geometry from Alexandria via LeMat-Bulk. Energies are from GGA-PBE.

Geometry as extended XYZ:
```
20
Lattice="-5.508 5.508 5.508 5.508 -5.508 5.508 5.508 5.508 -5.508" Properties=species:S:1:pos:R:3 pbc="T T T"
Tb 5.508 2.589 -2.581
Tb 2.927 0.000 2.920
Tb 8.089 0.000 2.920
Tb 2.920 2.927 0.000
Tb 2.589 -2.581 5.508
Tb 5.508 2.589 2.581
Tb 0.000 2.920 2.927
Tb 2.920 8.089 0.000
Tb 2.589 2.581 5.508
Tb -2.581 5.508 2.589
Tb 2.581 5.508 2.589
Tb 0.000 2.920 8.089
Pm 0.000 0.000 0.000
Sc 2.754 2.754 -2.754
Sc 2.754 -2.754 2.754
Sc 5.508 0.000 0.000
Sc -2.754 2.754 2.754
Sc 0.000 5.508 0.000
Sc 0.000 0.000 5.508
Sc 2.754 2.754 2.754
```

Output
**Offset from the most stable computed form**: 0.4920 eV/atom
**Space-group type**: Im-3 (204)
**Formation enthalpy at 0 K**: 0.66 eV/atom
**M_tot**: 0.00 Bohr magnetons per cell

Here is crystalline Fe2ReMo at its relaxed geometry from Alexandria via LeMat-Bulk. Energies are from GGA-PBE.

Geometry as extended XYZ:
```
4
Lattice="2.662 0.000 0.000 0.000 3.717 0.000 0.000 0.000 5.381" Properties=species:S:1:pos:R:3 pbc="T T T"
Fe 0.000 0.000 0.000
Fe 1.331 1.859 1.257
Re 1.331 1.859 4.164
Mo 0.000 0.000 2.563
```

Output
**Space-group type**: Pmm2 (25)
**Formation enthalpy at 0 K**: 0.17 eV/atom
**M_tot**: 2.51 Bohr magnetons per cell

Here is crystalline ScCdRe2 at its relaxed geometry from Alexandria via LeMat-Bulk. Energies are from GGA-PBE.

Geometry as extended XYZ:
```
4
Lattice="-1.951 1.951 4.547 1.951 -1.951 4.547 1.951 1.951 -4.547" Properties=species:S:1:pos:R:3 pbc="T T T"
Sc 0.000 0.000 0.000
Cd 0.000 0.000 4.547
Re 1.951 0.000 2.274
Re 0.000 1.951 2.274
```

Output
**Space-group type**: I4/mmm (139)
**Formation enthalpy at 0 K**: 0.38 eV/atom
**M_tot**: 0.00 Bohr magnetons per cell

Here is crystalline CuSi2Sb at its relaxed geometry from Alexandria via LeMat-Bulk. Energies are from GGA-PBE.

Geometry as extended XYZ:
```
4
Lattice="-2.173 2.173 3.726 2.173 -2.173 3.726 2.173 2.173 -3.726" Properties=species:S:1:pos:R:3 pbc="T T T"
Cu 0.000 0.000 0.000
Si 0.000 0.000 3.726
Si 0.000 2.173 1.863
Sb 2.173 0.000 1.863
```

Output
**Space-group type**: I-4m2 (119)
**M_tot**: 0.00 Bohr magnetons per cell
**Raw formation energy**: 0.54 eV/atom

Here is crystalline Si2SnBi at its relaxed geometry from Alexandria via LeMat-Bulk. Energies are from GGA-PBE.

Geometry as extended XYZ:
```
4
Lattice="0.000 3.567 3.567 3.567 0.000 3.567 3.567 3.567 0.000" Properties=species:S:1:pos:R:3 pbc="T T T"
Si 1.783 1.783 1.783
Si 5.350 5.350 5.350
Sn 0.000 0.000 0.000
Bi 3.567 3.567 3.567
```

Output
**Offset from the most stable computed form**: 0.1274 eV/atom
**Space-group type**: Fm-3m (225)
**M_tot**: 0.00 Bohr magnetons per cell
**Raw formation energy**: 0.53 eV/atom

| no. | uncorrected energy (eV/atom) |
| --- | --- |
| 1 | -5.745 |
| 2 | -4.567 |
| 3 | -9.885 |
| 4 | -7.661 |
| 5 | -4.225 |
| 6 | -4.155 |